Record 1
A plane-wave DFT calculation with GGA-PBE was carried out for a relaxed Pu4As crystal.

a b c (Å): 5.543 5.543 5.543
angles (deg): 90.00 90.00 90.00
Space group Pm-3m (No. 221)
Asymmetric unit:
1 Pu 0.000 0.000 0.000
2 Pu 0.000 0.500 0.500
3 As 0.500 0.500 0.500

Calculated values
The calculation puts the formation enthalpy at 0 K at 0.2433 eV per atom. Its density of states at the Fermi level is 32.72 states/eV per cell.

Record 2
A plane-wave DFT calculation with GGA-PBE was carried out for a relaxed KCoAu2 crystal.

a b c (Å): 6.948 6.948 6.948
angles (deg): 90.00 90.00 90.00
Space group Fm-3m (No. 225)
Asymmetric unit:
1 K 0.000 0.000 0.000
2 Co 0.000 0.000 0.500
3 Au 0.250 0.250 0.250

Calculated values
The calculation puts the formation enthalpy at 0 K at 0.5886 eV per atom. Its density of states at the Fermi level is 36.04 states/eV per cell. For the relative energy among the computed polymorphs, the calculation gives 397 meV per atom.

Record 3
A plane-wave DFT calculation with GGA-PBE was carried out for a relaxed MnZn2Cd crystal.

a b c (Å): 9.085 2.854 5.138
angles (deg): 90.00 100.75 90.00
Space group C2/m (No. 12)
Asymmetric unit:
1 Mn 0.000 0.000 0.000
2 Zn 0.243 0.500 0.224
3 Cd 0.000 0.500 0.500

Calculated values
The calculation puts the formation enthalpy at 0 K at 0.1404 eV per atom. Its density of states at the Fermi level is 4.37 states/eV per cell.

Record 4
A plane-wave DFT calculation with GGA-PBE was carried out for a relaxed LaMn3Ge crystal.

a b c (Å): 4.736 4.736 4.736
angles (deg): 90.00 90.00 90.00
Space group Pm-3m (No. 221)
Asymmetric unit:
1 La 0.000 0.000 0.000
2 Mn 0.000 0.500 0.500
3 Ge 0.500 0.500 0.500

Calculated values
The calculation puts the formation enthalpy at 0 K at 0.3620 eV per atom. Its density of states at the Fermi level is 4.02 states/eV per cell. For the relative energy among the computed polymorphs, the calculation gives 0 meV per atom.

Record 5
A plane-wave DFT calculation with GGA-PBE was carried out for a relaxed TbPm4Dy10 crystal.

a b c (Å): 12.205 12.205 7.731
angles (deg): 90.00 90.00 90.00
Space group I4/m (No. 87)
Asymmetric unit:
1 Tb 0.000 0.000 0.000
2 Pm 0.100 0.701 0.500
3 Dy 0.000 0.500 0.250
4 Dy 0.099 0.199 0.248

Calculated values
The calculation puts the formation enthalpy at 0 K at 0.7515 eV per atom. Its density of states at the Fermi level is 44.45 states/eV per cell.

Record 6
A plane-wave DFT calculation with GGA-PBE was carried out for a relaxed NdPuRhI crystal.

a b c (Å): 4.0741 4.0741 24.5862
angles (deg): 90.00 90.00 120.00
Space group R3m (No. 160, hexagonal axes)
Asymmetric unit:
1 Nd 0.0000 0.0000 0.0000
2 Pu 0.0000 0.0000 0.7930
3 Rh 0.0000 0.0000 0.4017
4 I 0.0000 0.0000 0.2313

Calculated values
Its density of states at the Fermi level is 35.51 states/eV per cell. For the total energy, the calculation gives -92.57 eV for the cell shown.

Record 7
A plane-wave DFT calculation with GGA-PBE was carried out for a relaxed BiOsRuBr2 crystal.

a b c (Å): 5.740 5.740 5.204
angles (deg): 90.00 90.00 90.00
Space group P4/mmm (No. 123)
Asymmetric unit:
1 Bi 0.000 0.000 0.000
2 Os 0.000 0.000 0.500
3 Ru 0.500 0.500 0.500
4 Br 0.000 0.500 0.000

Calculated values
Its density of states at the Fermi level is 6.21 states/eV per cell. For the total energy, the calculation gives -18.30 eV for the cell shown.

Record 8
A plane-wave DFT calculation with GGA-PBE was carried out for a relaxed MoP crystal.

a b c (Å): 4.2367 4.2367 12.5008
angles (deg): 90.00 90.00 120.00
Space group R-3m (No. 166, hexagonal axes)
Asymmetric unit:
1 Mo 0.0000 0.0000 0.1951
2 P 0.0000 0.0000 0.3951

Calculated values
The calculation puts the formation enthalpy at 0 K at 0.1938 eV per atom. Its density of states at the Fermi level is 9.97 states/eV per cell.

Q: What is the formula in the third record?
A: MnZn2Cd

Q: The highest density of states at the Fermi level belongs to which entry?
A: TbPm4Dy10

Q: Which formula does entry 3 have?
A: MnZn2Cd